The following is a PBE calculation of Nd3Sn3Rh after structural relaxation, from the Alexandria database.

Cell: 11.456 4.604 15.318 Å, 90.00 109.33 90.00°
Space group C2/m (No. 12)
Unique sites:
Nd 0.023 0.000 0.381
Nd 0.099 0.000 0.921
Nd 0.241 0.000 0.241
Sn 0.029 0.500 0.236
Sn 0.123 0.500 0.076
Sn 0.149 0.500 0.535
Rh 0.246 0.500 0.386

Calculated values
DFT formation energy = -0.79 eV per atom
total moment = 0.0 μB per formula unit
calculated total energy = -5.602 eV/atom


The following is a PBE calculation of Nd2Sn4Rh5 after structural relaxation, from the Alexandria database.

Cell: 5.906 10.011 16.054 Å, 90.00 90.00 90.00°
Space group Fmmm (No. 69)
Unique sites:
Nd 0.000 0.000 0.118
Sn 0.000 0.160 0.370
Rh 0.000 0.000 0.500
Rh 0.250 0.250 0.000
Rh 0.250 0.250 0.250

Calculated values
DFT formation energy = -0.60 eV per atom
total moment = 0.0 μB per formula unit
calculated total energy = -6.262 eV/atom


The following is a PBE calculation of Nd2Sn2Rh after structural relaxation, from the Alexandria database.

Cell: 6.786 13.199 6.381 Å, 90.00 90.00 90.00°
Space group Ibam (No. 72)
Unique sites:
Nd 0.209 0.128 0.000
Sn 0.223 0.378 0.000
Rh 0.000 0.500 0.250

Calculated values
DFT formation energy = -0.63 eV per atom
total moment = 0.0 μB per formula unit
calculated total energy = -5.605 eV/atom
relative energy among the computed polymorphs = 17.5 kJ per mole of atoms


The following is a PBE calculation of NdSn6Rh6 after structural relaxation, from the Alexandria database.

Cell: 5.6768 5.6768 8.8311 Å, 90.00 90.00 120.00°
Space group P6/mmm (No. 191)
Unique sites:
Nd 0.0000 0.0000 0.0000
Sn 0.0000 0.0000 0.3390
Sn 0.3333 0.6667 0.0000
Sn 0.3333 0.6667 0.5000
Rh 0.0000 0.5000 0.2502

Calculated values
DFT formation energy = -0.56 eV per atom
total moment = 0.0 μB per formula unit
calculated total energy = -6.167 eV/atom